Record 1
# PBE Li3Ca2Ga, relaxed
# M_tot, μB/f.u.: 0.0
# Space-group type: Immm (71)
data_Li3Ca2Ga
_space_group_name_H-M_alt 'P 1'
_space_group_IT_number 1
_space_group_name_Hall 'P 1'
_cell_length_a 6.602
_cell_length_b 6.602
_cell_length_c 6.602
_cell_angle_alpha 135.73
_cell_angle_beta 128.95
_cell_angle_gamma 69.84
loop_
_atom_site_label
_atom_site_type_symbol
_atom_site_fract_x
_atom_site_fract_y
_atom_site_fract_z
Li1 Li 0.000 0.000 0.000
Li2 Li 0.394 0.394 0.000
Li3 Li 0.606 0.606 0.000
Ca1 Ca 0.207 0.707 0.500
Ca2 Ca 0.793 0.293 0.500
Ga1 Ga 0.500 0.000 0.500

Record 2
# PBE Li6CaGa4, relaxed
# M_tot, μB/f.u.: 0.0
# Space-group type: I-42m (121)
data_Li6CaGa4
_space_group_name_H-M_alt 'P 1'
_space_group_IT_number 1
_space_group_name_Hall 'P 1'
_cell_length_a 6.931
_cell_length_b 6.931
_cell_length_c 6.931
_cell_angle_alpha 121.98
_cell_angle_beta 121.98
_cell_angle_gamma 86.61
loop_
_atom_site_label
_atom_site_type_symbol
_atom_site_fract_x
_atom_site_fract_y
_atom_site_fract_z
Li1 Li 0.000 0.500 0.500
Li2 Li 0.015 0.015 0.614
Li3 Li 0.401 0.401 0.386
Li4 Li 0.500 0.000 0.500
Li5 Li 0.599 0.985 0.000
Li6 Li 0.985 0.599 0.000
Ca1 Ca 0.500 0.500 0.000
Ga1 Ga 0.080 0.080 0.313
Ga2 Ga 0.233 0.920 0.000
Ga3 Ga 0.767 0.767 0.687
Ga4 Ga 0.920 0.233 0.000

Record 3
# PBE Li2CaGa6, relaxed
# M_tot, μB/f.u.: 0.0
# Space-group type: P6/mmm (191)
data_Li2CaGa6
_space_group_name_H-M_alt 'P 1'
_space_group_IT_number 1
_space_group_name_Hall 'P 1'
_cell_length_a 7.656
_cell_length_b 7.656
_cell_length_c 3.429
_cell_angle_alpha 90.00
_cell_angle_beta 90.00
_cell_angle_gamma 120.00
loop_
_atom_site_label
_atom_site_type_symbol
_atom_site_fract_x
_atom_site_fract_y
_atom_site_fract_z
Li1 Li 0.333 0.667 0.000
Li2 Li 0.667 0.333 0.000
Ca1 Ca 0.000 0.000 0.000
Ga1 Ga 0.000 0.339 0.500
Ga2 Ga 0.000 0.661 0.500
Ga3 Ga 0.339 0.000 0.500
Ga4 Ga 0.339 0.339 0.500
Ga5 Ga 0.661 0.000 0.500
Ga6 Ga 0.661 0.661 0.500

Record 4
# PBE Li3Ca4Ga, relaxed
# M_tot, μB/f.u.: 0.0
# Space-group type: R-3m (166)
data_Li3Ca4Ga
_space_group_name_H-M_alt 'P 1'
_space_group_IT_number 1
_space_group_name_Hall 'P 1'
_cell_length_a 9.489
_cell_length_b 9.489
_cell_length_c 9.489
_cell_angle_alpha 33.27
_cell_angle_beta 33.27
_cell_angle_gamma 33.27
loop_
_atom_site_label
_atom_site_type_symbol
_atom_site_fract_x
_atom_site_fract_y
_atom_site_fract_z
Li1 Li 0.000 0.000 0.000
Li2 Li 0.251 0.251 0.251
Li3 Li 0.749 0.749 0.749
Ca1 Ca 0.130 0.130 0.130
Ca2 Ca 0.381 0.381 0.381
Ca3 Ca 0.619 0.619 0.619
Ca4 Ca 0.870 0.870 0.870
Ga1 Ga 0.500 0.500 0.500

VASP energy (computed, eV per atom): -2.13, -2.55, -2.96, -2.22
Energy of formation (computed, eV per atom): 0.0000, -0.2262, -0.2906, -0.1225